DFT (PBE) results for an optimized crystal structure of Tb7Pm6Sm16.

Summary:
Calculated density, kg/m³: 7145
Energy of formation, eV per atom: 0.217
Total energy, eV/atom: -4.4872

Cell: 15.979 15.979 15.979 Å, 90.00 90.00 90.00°
Space group Fm-3m (No. 225)
One atom of each set of equivalent atoms:
Tb (0.000, 0.000, 0.000) x4
Tb (0.000, 0.250, 0.250) x24
Pm (0.000, 0.000, 0.271) x24
Sm (0.126, 0.126, 0.126) x32
Sm (0.151, 0.151, 0.349) x32